Below is a relaxed Mg2TaCu crystal, with properties calculated at the PBE level.

Output
ΔE_f: 119 kJ/mol of formula units
Volume: 17.80 Å³ per atom
Uncorrected energy: -17.9 eV per cell
Magnetization: 0.0 μB/f.u.
Relative energy among the computed polymorphs: 216 meV per atom

Geometry as POSCAR:
```
Mg2TaCu
1.0
2.8777 -4.5408 0.0000
2.8777 4.5408 0.0000
0.0000 0.0000 2.7248
Mg Ta Cu
2 1 1
Direct
0.0000 0.5000 0.0000 Mg
0.5000 0.0000 0.0000 Mg
0.0000 0.0000 0.5000 Ta
0.5000 0.5000 0.5000 Cu
```


Below is a relaxed HoSnO3 crystal, with properties calculated at the PBE level.

Output
Volume: 16.42 Å³ per atom
Uncorrected energy: -32.0 eV per cell
Magnetization: 1.0 μB/f.u.
Formation energy without anion corrections: -1.719 eV/atom

Geometry as POSCAR:
```
HoSnO3
1.0
4.3467 0.0000 0.0000
0.0000 4.3467 0.0000
0.0000 0.0000 4.3467
Ho Sn O
1 1 3
Direct
0.0000 0.0000 0.0000 Ho
0.5000 0.5000 0.5000 Sn
0.0000 0.0000 0.5000 O
0.0000 0.5000 0.0000 O
0.5000 0.0000 0.0000 O
```